Entry 1:
Computed, not measured: crystalline TlFeNi at its relaxed geometry at the PBE level of DFT.

a = 3.135 Å, b = 3.135 Å, c = 5.977 Å
α = 90.00°, β = 90.00°, γ = 120.00°
Positions (direct):
Tl: 0.000 0.000 0.000
Fe: 0.667 0.333 0.386
Ni: 0.333 0.667 0.636

Values from the calculation:
- Relative energy among the computed polymorphs: 146 meV per atom
- Space-group type: P3m1 (156)
- Electronic total energy: -14.993 eV/f.u.
- Energy of formation from the pure elements: 0.54 eV/atom

=====

Entry 2:
Computed, not measured: crystalline CsHg2Ge2 at its relaxed geometry at the PBE level of DFT.

a = 7.061 Å, b = 7.061 Å, c = 7.061 Å
α = 139.59°, β = 139.59°, γ = 58.48°
Positions (direct):
Cs: 0.000 0.000 0.000
Hg: 0.374 0.374 0.000
Hg: 0.626 0.626 0.000
Ge: 0.250 0.750 0.500
Ge: 0.750 0.250 0.500

Values from the calculation:
- Relative energy among the computed polymorphs: 61 meV per atom
- Space-group type: I4/mmm (139)
- Electronic total energy: -10.428 eV/f.u.
- Energy of formation from the pure elements: 0.05 eV/atom

=====

Entry 3:
Computed, not measured: crystalline YCr2P at its relaxed geometry at the PBE level of DFT.

a = 5.436 Å, b = 5.436 Å, c = 5.436 Å
α = 145.15°, β = 128.03°, γ = 64.10°
Positions (direct):
Y: 0.000 0.000 0.000
Cr: 0.298 0.798 0.500
Cr: 0.702 0.202 0.500
P: 0.500 0.500 0.000

Values from the calculation:
- Space-group type: Immm (71)
- Electronic total energy: -30.703 eV/f.u.
- Energy of formation from the pure elements: 0.10 eV/atom

=====

Entry 4:
Computed, not measured: crystalline SrBi3Rh2 at its relaxed geometry at the PBE level of DFT.

a = 8.462 Å, b = 8.462 Å, c = 9.040 Å
α = 119.95°, β = 119.95°, γ = 34.48°
Positions (direct):
Sr: 0.130 0.130 0.171
Sr: 0.870 0.870 0.829
Bi: 0.034 0.034 0.708
Bi: 0.285 0.285 0.946
Bi: 0.345 0.345 0.551
Bi: 0.655 0.655 0.449
Bi: 0.715 0.715 0.054
Bi: 0.966 0.966 0.292
Rh: 0.168 0.168 0.590
Rh: 0.481 0.481 0.138
Rh: 0.519 0.519 0.862
Rh: 0.832 0.832 0.410

Values from the calculation:
- Relative energy among the computed polymorphs: 0 meV per atom
- Space-group type: C2/m (12)
- Electronic total energy: -29.613 eV/f.u.
- Energy of formation from the pure elements: -0.26 eV/atom

=====

Entry 5:
Computed, not measured: crystalline Al2Cd2P at its relaxed geometry at the PBE level of DFT.

a = 7.519 Å, b = 7.519 Å, c = 7.519 Å
α = 150.10°, β = 150.10°, γ = 42.80°
Positions (direct):
Al: 0.089 0.089 0.000
Al: 0.911 0.911 0.000
Cd: 0.250 0.750 0.500
Cd: 0.750 0.250 0.500
P: 0.500 0.500 0.000

Values from the calculation:
- Relative energy among the computed polymorphs: 267 meV per atom
- Space-group type: I4/mmm (139)
- Electronic total energy: -12.636 eV/f.u.
- Energy of formation from the pure elements: 0.42 eV/atom

=====

Entry 6:
Computed, not measured: crystalline Nd8Er6Mg at its relaxed geometry at the PBE level of DFT.

a = 9.356 Å, b = 9.356 Å, c = 6.514 Å
α = 90.00°, β = 90.00°, γ = 120.00°
Positions (direct):
Nd: 0.040 0.278 0.325
Nd: 0.238 0.960 0.325
Nd: 0.278 0.238 0.675
Nd: 0.333 0.667 0.362
Nd: 0.667 0.333 0.638
Nd: 0.722 0.762 0.325
Nd: 0.762 0.040 0.675
Nd: 0.960 0.722 0.675
Er: 0.097 0.445 0.837
Er: 0.348 0.903 0.837
Er: 0.445 0.348 0.163
Er: 0.555 0.652 0.837
Er: 0.652 0.097 0.163
Er: 0.903 0.555 0.163
Mg: 0.000 0.000 0.000

Values from the calculation:
- Space-group type: P-3 (147)
- Electronic total energy: -65.031 eV/f.u.
- Energy of formation from the pure elements: 0.14 eV/atom

=====

Entry 7:
Computed, not measured: crystalline TlZnB at its relaxed geometry at the PBE level of DFT.

a = 3.569 Å, b = 3.999 Å, c = 9.349 Å
α = 87.37°, β = 79.27°, γ = 63.54°
Positions (direct):
Tl: 0.000 0.000 0.000
Tl: 0.100 0.474 0.318
Zn: 0.266 0.894 0.568
Zn: 0.436 0.362 0.762
B: 0.744 0.770 0.740
B: 0.952 0.486 0.603

Values from the calculation:
- Space-group type: P1 (1)
- Electronic total energy: -8.976 eV/f.u.
- Energy of formation from the pure elements: 0.45 eV/atom

=====

Entry 8:
Computed, not measured: crystalline InHg14I at its relaxed geometry at the PBE level of DFT.

a = 9.308 Å, b = 8.539 Å, c = 8.539 Å
α = 46.72°, β = 90.00°, γ = 90.00°
Positions (direct):
In: 0.000 0.000 0.000
Hg: 0.000 0.093 0.555
Hg: 0.000 0.555 0.093
Hg: 0.192 0.170 0.170
Hg: 0.235 0.734 0.734
Hg: 0.296 0.198 0.687
Hg: 0.296 0.687 0.198
Hg: 0.500 0.052 0.503
Hg: 0.500 0.077 0.077
Hg: 0.500 0.503 0.052
Hg: 0.500 0.589 0.589
Hg: 0.704 0.198 0.687
Hg: 0.704 0.687 0.198
Hg: 0.765 0.734 0.734
Hg: 0.808 0.170 0.170
I: 0.000 0.567 0.567

Values from the calculation:
- E_form (uncorrected): -0.560 eV/f.u.
- Space-group type: Amm2 (38)
- Electronic total energy: -9.074 eV/f.u.

=====

Entry 9:
Computed, not measured: crystalline CaZnB3 at its relaxed geometry at the PBE level of DFT.

a = 4.140 Å, b = 4.140 Å, c = 4.140 Å
α = 90.00°, β = 90.00°, γ = 90.00°
Positions (direct):
Ca: 0.000 0.000 0.000
Zn: 0.500 0.500 0.500
B: 0.000 0.500 0.500
B: 0.500 0.000 0.500
B: 0.500 0.500 0.000

Values from the calculation:
- Relative energy among the computed polymorphs: 0 meV per atom
- Space-group type: Pm-3m (221)
- Electronic total energy: -16.822 eV/f.u.
- Energy of formation from the pure elements: 1.30 eV/atom

=====

Entry 10:
Computed, not measured: crystalline Sr2Sn4PbAu3 at its relaxed geometry at the PBE level of DFT.

a = 4.799 Å, b = 4.799 Å, c = 11.945 Å
α = 90.00°, β = 90.00°, γ = 90.00°
Positions (direct):
Sr: 0.000 0.500 0.242
Sr: 0.500 0.000 0.758
Sn: 0.000 0.000 0.000
Sn: 0.000 0.500 0.645
Sn: 0.500 0.000 0.355
Sn: 0.500 0.500 0.000
Pb: 0.000 0.000 0.500
Au: 0.000 0.500 0.870
Au: 0.500 0.000 0.130
Au: 0.500 0.500 0.500

Values from the calculation:
- Space-group type: P-4m2 (115)
- Electronic total energy: -37.467 eV/f.u.
- Energy of formation from the pure elements: -0.46 eV/atom

=====

Entry 11:
Computed, not measured: crystalline SrMg2Pb at its relaxed geometry at the PBE level of DFT.

a = 3.844 Å, b = 5.271 Å, c = 6.122 Å
α = 90.00°, β = 94.62°, γ = 90.00°
Positions (direct):
Sr: 0.000 0.000 0.000
Mg: 0.437 0.500 0.748
Mg: 0.563 0.500 0.252
Pb: 0.500 0.000 0.500

Values from the calculation:
- Space-group type: P2/m (10)
- Electronic total energy: -9.109 eV/f.u.
- Energy of formation from the pure elements: -0.13 eV/atom

=====

Entry 12:
Computed, not measured: crystalline CdPtW2 at its relaxed geometry at the PBE level of DFT.

a = 3.869 Å, b = 3.869 Å, c = 4.450 Å
α = 90.00°, β = 90.00°, γ = 90.00°
Positions (direct):
Cd: 0.000 0.000 0.000
Pt: 0.500 0.500 0.000
W: 0.000 0.500 0.500
W: 0.500 0.000 0.500

Values from the calculation:
- Space-group type: P4/mmm (123)
- Electronic total energy: -31.580 eV/f.u.
- Energy of formation from the pure elements: 0.32 eV/atom

=====

Entry 13:
Computed, not measured: crystalline PuAs2Pd4 at its relaxed geometry at the PBE level of DFT.

a = 7.797 Å, b = 7.797 Å, c = 4.056 Å
α = 90.00°, β = 90.00°, γ = 90.00°
Positions (direct):
Pu: 0.000 0.000 0.000
Pu: 0.500 0.500 0.500
As: 0.217 0.217 0.500
As: 0.283 0.717 0.000
As: 0.717 0.283 0.000
As: 0.783 0.783 0.500
Pd: 0.091 0.659 0.500
Pd: 0.159 0.409 0.000
Pd: 0.341 0.909 0.500
Pd: 0.409 0.159 0.000
Pd: 0.591 0.841 0.000
Pd: 0.659 0.091 0.500
Pd: 0.841 0.591 0.000
Pd: 0.909 0.341 0.500

Values from the calculation:
- Space-group type: P4_2/mnm (136)
- Electronic total energy: -48.624 eV/f.u.
- Energy of formation from the pure elements: -0.60 eV/atom

=====

Entry 14:
Computed, not measured: crystalline Li2BiSb2 at its relaxed geometry at the PBE level of DFT.

a = 8.470 Å, b = 8.470 Å, c = 3.299 Å
α = 90.00°, β = 90.00°, γ = 90.00°
Positions (direct):
Li: 0.117 0.383 0.000
Li: 0.383 0.883 0.000
Li: 0.617 0.117 0.000
Li: 0.883 0.617 0.000
Bi: 0.000 0.000 0.000
Bi: 0.500 0.500 0.000
Sb: 0.184 0.684 0.500
Sb: 0.316 0.184 0.500
Sb: 0.684 0.816 0.500
Sb: 0.816 0.316 0.500

Values from the calculation:
- E_form (uncorrected): -1.053 eV/f.u.
- Relative energy among the computed polymorphs: 85 meV per atom
- Space-group type: P4/mbm (127)
- Electronic total energy: -17.006 eV/f.u.

=====

Entry 15:
Computed, not measured: crystalline RbHo4Cl12 at its relaxed geometry at the PBE level of DFT.

a = 8.912 Å, b = 8.912 Å, c = 8.912 Å
α = 109.49°, β = 109.48°, γ = 109.45°
Positions (direct):
Rb: 0.000 0.000 0.000
Ho: 0.000 0.000 0.500
Ho: 0.000 0.500 0.000
Ho: 0.500 0.000 0.000
Ho: 0.500 0.500 0.500
Cl: 0.087 0.801 0.287
Cl: 0.200 0.286 0.486
Cl: 0.200 0.714 0.914
Cl: 0.285 0.087 0.801
Cl: 0.285 0.484 0.199
Cl: 0.486 0.199 0.287
Cl: 0.514 0.801 0.713
Cl: 0.715 0.516 0.801
Cl: 0.715 0.913 0.199
Cl: 0.800 0.286 0.086
Cl: 0.800 0.714 0.514
Cl: 0.913 0.199 0.713

Values from the calculation:
- E_form (uncorrected): -36.566 eV/f.u.
- Space-group type: Immm (71)
- Electronic total energy: -78.005 eV/f.u.

=====

Entry 16:
Computed, not measured: crystalline ZnWSe2N at its relaxed geometry at the PBE level of DFT.

a = 5.080 Å, b = 5.080 Å, c = 3.815 Å
α = 90.00°, β = 90.00°, γ = 90.00°
Positions (direct):
Zn: 0.000 0.000 0.000
W: 0.500 0.500 0.500
Se: 0.000 0.500 0.500
Se: 0.500 0.000 0.500
N: 0.500 0.500 0.000

Values from the calculation:
- E_form (uncorrected): 1.049 eV/f.u.
- Relative energy among the computed polymorphs: 0 meV per atom
- Space-group type: P4/mmm (123)
- Electronic total energy: -28.472 eV/f.u.

=====

Entry 17:
Computed, not measured: crystalline KNd2Gd at its relaxed geometry at the PBE level of DFT.

a = 13.626 Å, b = 13.626 Å, c = 13.626 Å
α = 15.45°, β = 15.45°, γ = 15.45°
Positions (direct):
K: 0.000 0.000 0.000
Nd: 0.095 0.095 0.095
Nd: 0.905 0.905 0.905
Gd: 0.500 0.500 0.500

Values from the calculation:
- Space-group type: R-3m (166)
- Electronic total energy: -23.925 eV/f.u.
- Energy of formation from the pure elements: 0.20 eV/atom

=====

Entry 18:
Computed, not measured: crystalline KBaMo2 at its relaxed geometry at the PBE level of DFT.

a = 5.619 Å, b = 5.619 Å, c = 5.619 Å
α = 60.00°, β = 60.00°, γ = 60.00°
Positions (direct):
K: 0.000 0.000 0.000
Ba: 0.500 0.500 0.500
Mo: 0.250 0.250 0.250
Mo: 0.750 0.750 0.750

Values from the calculation:
- Relative energy among the computed polymorphs: 1253 meV per atom
- Space-group type: Fm-3m (225)
- Electronic total energy: -16.573 eV/f.u.
- Energy of formation from the pure elements: 2.03 eV/atom

=====

no.,D(E_F) (states/eV/cell)
1,3.050
2,1.965
3,4.879
4,6.458
5,2.236
6,21.761
7,2.314
8,1.047
9,2.386
10,2.733
11,1.922
12,2.056
13,28.908
14,4.979
15,6.196
16,2.470
17,5.572
18,4.312